1.
A plane-wave DFT calculation with PBE was carried out for a relaxed structure of TcNiSe2.

Structure (POSCAR):
```
TcNiSe2
1.0
3.1676 0.0000 0.0000
0.0000 3.8060 0.0000
0.0000 0.0000 5.5453
Tc Ni Se
1 1 2
Direct
0.0000 0.0000 0.0000
0.5000 0.0000 0.5000
0.0000 0.5000 0.5000
0.5000 0.5000 0.0000
```

Output
The value obtained for the energy above the most stable polymorph in this dataset is 787 meV per atom. The volume comes out at 67 Å³/f.u. For the density, the calculation gives 7.8 g/cm³. Its density of states at the Fermi level is 1.273 states/eV per atom. Its uncorrected formation energy is 0.511 eV/atom.

=====

2.
A plane-wave DFT calculation with PBE was carried out for a relaxed structure of SrRu2Cl.

Structure (POSCAR):
```
SrRu2Cl
1.0
3.3788 0.0000 0.0000
0.0000 6.0727 0.0000
-0.0648 0.0000 4.2642
Sr Ru Cl
1 2 1
Direct
0.0000 0.0000 0.0000
0.3328 0.5000 0.2449
0.6672 0.5000 0.7551
0.5000 0.0000 0.5000
```

Output
The value obtained for the energy above the most stable polymorph in this dataset is 303 meV per atom. The volume comes out at 87 Å³/f.u. For the density, the calculation gives 6.2 g/cm³. Its density of states at the Fermi level is 1.158 states/eV per atom. Its uncorrected formation energy is 0.195 eV/atom.

=====

3.
A plane-wave DFT calculation with PBE was carried out for a relaxed structure of Zr6PdRh.

Structure (POSCAR):
```
Zr6PdRh
1.0
5.4566 0.0000 0.0000
-0.2248 5.4527 0.0000
-0.0209 -0.1018 5.4975
Zr Pd Rh
6 1 1
Direct
0.0020 0.0085 0.2511
0.2491 0.5052 0.9966
0.4828 0.7476 0.5006
0.5172 0.2524 0.4994
0.7509 0.4948 0.0034
0.9980 0.9915 0.7489
0.5000 0.0000 0.0000
0.0000 0.5000 0.5000
```

Output
The volume comes out at 164 Å³/f.u. For the density, the calculation gives 7.7 g/cm³. Its density of states at the Fermi level is 1.273 states/eV per atom. For the formation energy, the calculation gives -313 meV/atom.

=====

4.
A plane-wave DFT calculation with PBE was carried out for a relaxed structure of Zr2AlZn16.

Structure (POSCAR):
```
Zr2AlZn16
1.0
4.4305 2.5580 4.3033
-4.4305 2.5580 4.3033
0.0000 -5.1160 4.3033
Zr Al Zn
2 1 16
Direct
0.0000 0.0000 0.0000
0.3319 0.3319 0.3319
0.5646 0.5646 0.5646
0.0220 0.0220 0.4957
0.0220 0.4957 0.0220
0.1598 0.6682 0.6682
0.3096 0.3096 0.8250
0.3096 0.8250 0.3096
0.3599 0.6644 0.9696
0.3599 0.9696 0.6644
0.4957 0.0220 0.0220
0.6644 0.3599 0.9696
0.6644 0.9696 0.3599
0.6682 0.1598 0.6682
0.6682 0.6682 0.1598
0.7675 0.7675 0.7675
0.8250 0.3096 0.3096
0.9696 0.3599 0.6644
0.9696 0.6644 0.3599
```

Output
The volume comes out at 293 Å³/f.u. For the density, the calculation gives 7.1 g/cm³. Its density of states at the Fermi level is 0.218 states/eV per atom. For the formation energy, the calculation gives -127 meV/atom.